# 1
{"formula": "K2Li2Fe", "functional": "GGA-PBE", "state": "optimized geometry", "spacegroup": "No. 127", "polymorph_energy_mev_per_atom": 0, "formation_energy_kj_per_mol_atoms": 61, "lattice_angstrom": [[7.430, 0.000, 0.000], [0.000, 7.430, 0.000], [0.000, 0.000, 5.966]], "species": ["K", "K", "K", "K", "Li", "Li", "Li", "Li", "Fe", "Fe"], "fractional_positions": [[0.191, 0.309, 0.000], [0.309, 0.809, 0.000], [0.691, 0.191, 0.000], [0.809, 0.691, 0.000], [0.147, 0.647, 0.500], [0.353, 0.147, 0.500], [0.647, 0.853, 0.500], [0.853, 0.353, 0.500], [0.000, 0.000, 0.500], [0.500, 0.500, 0.500]]}

---

# 2
{"formula": "CeCu4P3", "functional": "GGA-PBE", "state": "optimized geometry", "spacegroup": "No. 123", "formation_energy_kj_per_mol_atoms": -45, "lattice_angstrom": [[3.861, 0.000, 0.000], [0.000, 3.861, 0.000], [0.000, 0.000, 8.169]], "species": ["Ce", "Cu", "Cu", "Cu", "Cu", "P", "P", "P"], "fractional_positions": [[0.000, 0.000, 0.000], [0.000, 0.500, 0.331], [0.000, 0.500, 0.669], [0.500, 0.000, 0.331], [0.500, 0.000, 0.669], [0.000, 0.000, 0.500], [0.500, 0.500, 0.162], [0.500, 0.500, 0.838]]}

---

# 3
{"formula": "LiZrNi2", "functional": "GGA-PBE", "state": "optimized geometry", "spacegroup": "No. 25", "formation_energy_kj_per_mol_atoms": -2, "lattice_angstrom": [[2.797, 0.000, 0.000], [0.000, 3.850, 0.000], [0.000, 0.000, 5.284]], "species": ["Li", "Zr", "Ni", "Ni"], "fractional_positions": [[0.000, 0.000, 0.000], [0.500, 0.500, 0.678], [0.000, 0.000, 0.441], [0.500, 0.500, 0.182]]}

---

# 4
{"formula": "TbNd4Tm15", "functional": "GGA-PBE", "state": "optimized geometry", "spacegroup": "No. 123", "formation_energy_kj_per_mol_atoms": 3, "lattice_angstrom": [[4.997, 0.000, 0.000], [0.000, 4.997, 0.000], [0.000, 0.000, 24.888]], "species": ["Tb", "Nd", "Nd", "Nd", "Nd", "Tm", "Tm", "Tm", "Tm", "Tm", "Tm", "Tm", "Tm", "Tm", "Tm", "Tm", "Tm", "Tm", "Tm", "Tm"], "fractional_positions": [[0.000, 0.000, 0.000], [0.000, 0.000, 0.199], [0.000, 0.000, 0.400], [0.000, 0.000, 0.600], [0.000, 0.000, 0.801], [0.000, 0.500, 0.099], [0.000, 0.500, 0.299], [0.000, 0.500, 0.500], [0.000, 0.500, 0.701], [0.000, 0.500, 0.901], [0.500, 0.000, 0.099], [0.500, 0.000, 0.299], [0.500, 0.000, 0.500], [0.500, 0.000, 0.701], [0.500, 0.000, 0.901], [0.500, 0.500, 0.000], [0.500, 0.500, 0.199], [0.500, 0.500, 0.400], [0.500, 0.500, 0.600], [0.500, 0.500, 0.801]]}

---

# 5
{"formula": "As2P", "functional": "GGA-PBE", "state": "optimized geometry", "spacegroup": "No. 1", "polymorph_energy_mev_per_atom": 111, "formation_energy_kj_per_mol_atoms": 16, "lattice_angstrom": [[5.872, 0.000, 0.000], [-2.440, 5.391, 0.000], [-2.625, -1.983, 4.950]], "species": ["As", "As", "As", "As", "P", "P"], "fractional_positions": [[0.000, 0.000, 0.000], [0.024, 0.914, 0.589], [0.413, 0.945, 0.333], [0.547, 0.251, 0.779], [0.166, 0.610, 0.467], [0.523, 0.640, 0.850]]}

---

# 6
{"formula": "Sm3Dy2Ho6Mg", "functional": "GGA-PBE", "state": "optimized geometry", "spacegroup": "No. 12", "formation_energy_kj_per_mol_atoms": 3, "lattice_angstrom": [[3.063, -5.308, 0.000], [3.063, 5.308, 0.000], [-2.053, 0.000, 11.505]], "species": ["Sm", "Sm", "Sm", "Dy", "Dy", "Ho", "Ho", "Ho", "Ho", "Ho", "Ho", "Mg"], "fractional_positions": [[0.000, 0.000, 0.000], [0.334, 0.666, 0.000], [0.666, 0.334, 0.000], [0.166, 0.834, 0.500], [0.834, 0.166, 0.500], [0.086, 0.418, 0.254], [0.249, 0.249, 0.747], [0.418, 0.086, 0.254], [0.582, 0.914, 0.746], [0.751, 0.751, 0.253], [0.914, 0.582, 0.746], [0.500, 0.500, 0.500]]}

---

# 7
{"formula": "Pm2Tl5I12", "functional": "GGA-PBE", "state": "optimized geometry", "spacegroup": "No. 12", "e_form_raw_ev_per_atom": -0.89, "lattice_angstrom": [[9.564, -4.521, 0.000], [9.564, 4.521, 0.000], [-3.748, 0.000, 10.486]], "species": ["Pm", "Pm", "Tl", "Tl", "Tl", "Tl", "Tl", "I", "I", "I", "I", "I", "I", "I", "I", "I", "I", "I", "I"], "fractional_positions": [[0.246, 0.754, 0.000], [0.754, 0.246, 0.000], [0.184, 0.184, 0.819], [0.221, 0.221, 0.372], [0.500, 0.500, 0.500], [0.779, 0.779, 0.628], [0.816, 0.816, 0.181], [0.007, 0.007, 0.204], [0.066, 0.596, 0.909], [0.122, 0.617, 0.441], [0.383, 0.878, 0.559], [0.404, 0.934, 0.091], [0.499, 0.499, 0.808], [0.501, 0.501, 0.192], [0.596, 0.066, 0.909], [0.617, 0.122, 0.441], [0.878, 0.383, 0.559], [0.934, 0.404, 0.091], [0.993, 0.993, 0.796]]}

---

# 8
{"formula": "Tb2ZnCu4Ge3", "functional": "GGA-PBE", "state": "optimized geometry", "spacegroup": "No. 115", "formation_energy_kj_per_mol_atoms": -46, "lattice_angstrom": [[4.072, 0.000, 0.000], [0.000, 4.072, 0.000], [0.000, 0.000, 10.267]], "species": ["Tb", "Tb", "Zn", "Cu", "Cu", "Cu", "Cu", "Ge", "Ge", "Ge"], "fractional_positions": [[0.000, 0.500, 0.243], [0.500, 0.000, 0.757], [0.000, 0.000, 0.500], [0.000, 0.000, 0.000], [0.000, 0.500, 0.635], [0.500, 0.000, 0.365], [0.500, 0.500, 0.000], [0.000, 0.500, 0.865], [0.500, 0.000, 0.135], [0.500, 0.500, 0.500]]}

---

no.,magnetization (μB/f.u.)
1,2.88
2,0.48
3,0.00
4,0.00
5,0.00
6,0.00
7,0.00
8,0.00